Li3Mg2Zn | Alexandria | PBE | relaxed; space group = No. 25; total moment = 0.0 μB/f.u.; formation enthalpy at 0 K = -0.074 eV per atom
1.0
2.9527 0.0000 0.0000
0.0000 4.6386 0.0000
0.0000 0.0000 8.2228
Li Mg Zn
3 2 1
Direct
0.0000 0.0000 0.0000
0.0000 0.0000 0.3353
0.0000 0.5000 0.8296
0.5000 0.0000 0.6547
0.5000 0.5000 0.1798
0.0000 0.5000 0.4979